Density functional theory data (PBE) for BaFe2Br after structural relaxation.

## Properties
* energy relative to the lowest polymorph listed for this composition: 481 meV per atom
* symmetry: F-43m
* formation energy without anion corrections: 0.588 eV per atom
* DFT total energy: -0.3338 Ry/atom

Cell: 5.2392 5.2392 5.2392 Å, 60.00 60.00 60.00°
Sites, in units of the cell vectors:
Br1 0.7500 0.7500 0.7500
Fe1 0.2500 0.2500 0.2500
Ba1 0.5000 0.5000 0.5000
Fe2 0.0000 0.0000 0.0000

Density functional theory data (PBE) for BaFeBr2 after structural relaxation.

## Properties
* energy relative to the lowest polymorph listed for this composition: 154 meV per atom
* symmetry: P4mm
* formation energy without anion corrections: -0.519 eV per atom
* DFT total energy: -0.2904 Ry/atom

Cell: 3.9601 3.9601 7.3614 Å, 90.00 90.00 90.02°
Sites, in units of the cell vectors:
Br1 0.5000 0.5000 0.3370
Ba1 0.5000 0.5000 0.7573
Br2 0.0000 0.0000 0.0062
Fe1 0.0000 0.0000 0.3995

Density functional theory data (PBE) for BaFe4Br after structural relaxation.

## Properties
* symmetry: F-43m
* formation energy without anion corrections: 0.567 eV per atom
* DFT total energy: -0.4171 Ry/atom

Cell: 5.4767 5.4767 5.4767 Å, 60.00 60.00 60.00°
Sites, in units of the cell vectors:
Fe1 0.8396 0.3868 0.3868
Fe2 0.3868 0.8396 0.3868
Ba1 0.7500 0.7500 0.7500
Fe3 0.3868 0.3868 0.8396
Fe4 0.3868 0.3868 0.3868
Br1 0.0000 0.0000 0.0000

Density functional theory data (PBE) for BaFeBr2 after structural relaxation.

## Properties
* energy relative to the lowest polymorph listed for this composition: 216 meV per atom
* symmetry: P4/mmm
* formation energy without anion corrections: -0.457 eV per atom
* DFT total energy: -0.2859 Ry/atom

Cell: 4.1148 4.1148 7.3435 Å, 90.00 90.00 90.04°
Sites, in units of the cell vectors:
Ba1 0.5000 0.5000 0.7500
Br1 0.0000 0.0000 0.5092
Fe1 0.5000 0.5000 0.2500
Br2 0.0000 0.0000 0.9908

Density functional theory data (PBE) for BaFe2Br after structural relaxation.

## Properties
* energy relative to the lowest polymorph listed for this composition: 387 meV per atom
* symmetry: C2/m
* formation energy without anion corrections: 0.494 eV per atom
* DFT total energy: -0.3408 Ry/atom

Cell: 4.6768 6.6935 3.8091 Å, 73.80 89.10 110.18°
Sites, in units of the cell vectors:
Fe1 0.0000 0.0000 0.0000
Ba1 0.0000 0.5000 0.5000
Br1 0.5000 0.5000 0.0000
Fe2 0.5000 0.0000 0.5000

Density functional theory data (PBE) for BaFe2Br after structural relaxation.

## Properties
* energy relative to the lowest polymorph listed for this composition: 0 meV per atom
* symmetry: Pm
* formation energy without anion corrections: 0.107 eV per atom
* DFT total energy: -0.3692 Ry/atom

Cell: 3.4464 3.5133 7.8825 Å, 77.05 90.00 90.00°
Sites, in units of the cell vectors:
Br1 0.5000 0.9198 0.7840
Ba1 0.0000 0.5701 0.4845
Fe1 0.5000 0.2290 0.1678
Fe2 0.0000 0.7810 0.0637

Density functional theory data (PBE) for BaFeBr2 after structural relaxation.

## Properties
* energy relative to the lowest polymorph listed for this composition: 162 meV per atom
* symmetry: I-42d
* formation energy without anion corrections: -0.510 eV per atom
* DFT total energy: -0.2898 Ry/atom

Cell: 6.0873 6.0873 8.3250 Å, 68.56 68.56 90.00°
Sites, in units of the cell vectors:
Br1 0.8750 0.7666 0.7500
Ba1 0.0000 0.0000 0.0000
Br2 0.3750 0.4834 0.7500
Br3 0.5166 0.1250 0.2500
Fe1 0.5000 0.5000 0.0000
Fe2 0.2500 0.7500 0.5000
Br4 0.2334 0.6250 0.2500
Ba2 0.7500 0.2500 0.5000

Density functional theory data (PBE) for BaFe2Br after structural relaxation.

## Properties
* energy relative to the lowest polymorph listed for this composition: 373 meV per atom
* symmetry: P2/m
* formation energy without anion corrections: 0.480 eV per atom
* DFT total energy: -0.3418 Ry/atom

Cell: 3.7125 4.6870 6.0704 Å, 89.93 90.00 90.00°
Sites, in units of the cell vectors:
Ba1 0.5000 0.5000 0.5000
Br1 0.0000 0.0000 0.5000
Fe1 0.5000 0.5000 0.0000
Fe2 0.0000 0.0000 0.0000

> The highest formation energy without anion corrections belongs to which entry?

number 1

> Number 7 is which compound?

BaFeBr2

> The highest DFT total energy belongs to which entry?

number 4

> Which of these has the lowest formation energy without anion corrections?

number 2